No. 1
VASP calculation (meta-GGA SCAN) on a PBEsol-optimized structure of MoAsIr.

```
3
Lattice="2.909 0.000 0.000 0.000 2.909 0.000 -1.455 -1.455 5.295" Properties=species:S:1:pos:R:3 pbc="T T T"
Mo 1.455 1.455 1.799
Ir 0.000 0.000 3.464
As 0.000 0.000 0.033
```

## Properties
Calculated volume ... 14.9 Å³ per atom
Magnetization ... 0.00 Bohr magnetons per cell
E ... -42.068 eV per atom
SG ... I4mm, No. 107



No. 2
VASP calculation (meta-GGA SCAN) on a PBEsol-optimized structure of Mo2AsIr.

```
4
Lattice="-0.219 -0.761 2.698 -0.806 -2.611 0.664 7.925 -3.688 1.067" Properties=species:S:1:pos:R:3 pbc="T T T"
Mo 1.751 -1.773 1.107
Mo 5.150 -5.287 3.322
Ir 0.000 0.000 0.000
As 3.450 -3.530 2.214
```

## Properties
Calculated volume ... 14.8 Å³ per atom
Magnetization ... 0.00 Bohr magnetons per cell
E ... -40.204 eV per atom
SG ... R-3m, No. 166



No. 3
VASP calculation (meta-GGA SCAN) on a PBEsol-optimized structure of Mo2AsIr.

```
4
Lattice="4.390 0.000 0.000 2.195 3.802 0.000 2.195 1.267 3.584" Properties=species:S:1:pos:R:3 pbc="T T T"
Mo 0.000 0.000 0.000
Mo 2.195 1.267 0.896
Ir 6.585 3.802 2.688
As 4.390 2.534 1.792
```

## Properties
Calculated volume ... 15.0 Å³ per atom
Magnetization ... 0.00 Bohr magnetons per cell
E ... -40.034 eV per atom
SG ... F-43m, No. 216



No. 4
VASP calculation (meta-GGA SCAN) on a PBEsol-optimized structure of Mo2AsIr.

```
4
Lattice="3.075 0.000 0.000 0.000 3.075 0.000 0.000 0.000 6.340" Properties=species:S:1:pos:R:3 pbc="T T T"
Mo 0.000 0.000 0.003
Mo 1.537 1.537 1.699
Ir 1.537 1.537 4.787
As 0.000 0.000 3.019
```

## Properties
Calculated volume ... 15.0 Å³ per atom
Magnetization ... 0.00 Bohr magnetons per cell
E ... -40.196 eV per atom
SG ... P4mm, No. 99



No. 5
VASP calculation (meta-GGA SCAN) on a PBEsol-optimized structure of MoAs3Ir.

```
5
Lattice="4.734 0.000 0.000 0.000 4.734 0.000 0.000 0.000 4.734" Properties=species:S:1:pos:R:3 pbc="T T T"
Mo 2.367 2.367 2.367
Ir 0.000 0.000 0.000
As 0.000 2.367 0.000
As 0.000 0.000 2.367
As 2.367 0.000 0.000
```

## Properties
Calculated volume ... 21.2 Å³ per atom
Magnetization ... 2.54 Bohr magnetons per cell
E ... -32.268 eV per atom
SG ... Pm-3m, No. 221



No. 6
VASP calculation (meta-GGA SCAN) on a PBEsol-optimized structure of Mo2AsIr.

```
4
Lattice="-1.966 -0.094 1.971 -2.200 -2.440 -2.310 3.159 -4.157 1.383" Properties=species:S:1:pos:R:3 pbc="T T T"
Mo 2.241 -3.141 1.184
Mo -1.048 -1.110 2.171
Ir -0.503 -3.346 0.522
As -2.083 -1.267 -0.169
```

## Properties
Calculated volume ... 14.8 Å³ per atom
Magnetization ... 0.00 Bohr magnetons per cell
E ... -40.325 eV per atom
SG ... P2/m, No. 10



No. 7
VASP calculation (meta-GGA SCAN) on a PBEsol-optimized structure of MoAsIr.

```
3
Lattice="2.831 0.000 0.000 0.000 3.975 0.000 -1.415 -1.988 3.959" Properties=species:S:1:pos:R:3 pbc="T T T"
Mo 0.000 0.000 2.586
Ir 1.415 1.988 1.370
As 0.000 0.000 0.002
```

## Properties
Calculated volume ... 14.8 Å³ per atom
Magnetization ... 0.00 Bohr magnetons per cell
E ... -41.980 eV per atom
SG ... Imm2, No. 44



No. 8
VASP calculation (meta-GGA SCAN) on a PBEsol-optimized structure of MoAsIr2.

```
4
Lattice="-2.461 0.137 -1.357 -0.057 0.009 -2.812 -1.305 -8.455 -1.406" Properties=species:S:1:pos:R:3 pbc="T T T"
Mo -1.913 -4.179 -2.788
Ir -1.299 -8.343 -1.406
Ir -0.958 -2.127 -1.394
As -2.869 -6.269 -4.181
```

## Properties
Calculated volume ... 14.6 Å³ per atom
Magnetization ... 0.00 Bohr magnetons per cell
E ... -49.238 eV per atom
SG ... R3m, No. 160



No. 9
VASP calculation (meta-GGA SCAN) on a PBEsol-optimized structure of Te2AsIrN.

```
5
Lattice="-2.969 -1.374 -1.608 0.527 -4.514 2.884 -3.078 2.116 3.875" Properties=species:S:1:pos:R:3 pbc="T T T"
As -2.760 -1.886 2.575
Ir 0.000 0.000 0.000
Te -1.539 1.058 1.937
Te 0.264 -2.257 1.442
N -1.485 -0.687 -0.804
```

## Properties
ΔE_f (raw) ... 0.4210 eV per atom
Calculated volume ... 21.1 Å³ per atom
Magnetization ... 0.00 Bohr magnetons per cell
SG ... P4/mmm, No. 123



No. 10
VASP calculation (meta-GGA SCAN) on a PBEsol-optimized structure of NaAs2Ir2.

```
5
Lattice="-0.880 -0.337 3.895 -1.130 -3.800 -0.584 6.596 0.236 -0.551" Properties=species:S:1:pos:R:3 pbc="T T T"
Na 0.000 0.000 0.000
As 4.107 -1.347 0.811
As 0.479 -2.555 1.948
Ir 2.230 -2.816 0.260
Ir 2.356 -1.085 2.500
```

## Properties
Calculated volume ... 19.2 Å³ per atom
Magnetization ... 0.00 Bohr magnetons per cell
E ... -37.835 eV per atom
SG ... I4/mmm, No. 139



No. 11
VASP calculation (meta-GGA SCAN) on a PBEsol-optimized structure of Na2AsIrW.

```
5
Lattice="4.666 0.000 0.000 0.000 4.666 0.000 0.000 0.000 4.747" Properties=species:S:1:pos:R:3 pbc="T T T"
Na 0.000 2.333 0.000
Na 2.333 0.000 0.000
As 0.000 0.000 0.000
Ir 2.333 2.333 2.373
W 0.000 0.000 2.373
```

## Properties
Calculated volume ... 20.7 Å³ per atom
Magnetization ... 0.00 Bohr magnetons per cell
E ... -32.425 eV per atom
SG ... P4/mmm, No. 123



No. 12
VASP calculation (meta-GGA SCAN) on a PBEsol-optimized structure of NbAsIr3.

```
5
Lattice="4.493 0.000 0.000 0.000 4.493 0.000 0.000 0.000 4.493" Properties=species:S:1:pos:R:3 pbc="T T T"
Nb 2.247 2.247 2.247
Ir 0.000 2.247 0.000
Ir 0.000 0.000 2.247
Ir 2.247 0.000 0.000
As 0.000 0.000 0.000
```

## Properties
Calculated volume ... 18.1 Å³ per atom
Magnetization ... 3.23 Bohr magnetons per cell
E ... -52.306 eV per atom
SG ... Pm-3m, No. 221